PBE Sc2Be2Fe, optimized geometry; SG = I4/mmm (139); D(E_F) = 0.7 states/eV per cell; energy above the most stable polymorph in this dataset = 0.000 eV per atom
1.0
-1.501 1.501 8.326
1.501 -1.501 8.326
1.501 1.501 -8.326
Sc Be Fe
2 2 1
Direct
0.093 0.093 0.000 Sc
0.907 0.907 0.000 Sc
0.250 0.750 0.500 Be
0.750 0.250 0.500 Be
0.500 0.500 0.000 Fe

***

PBE Cs3Cd2SnF9, optimized geometry; SG = P-3m1 (164); D(E_F) = 0.0 states/eV per cell; formation energy without anion corrections = -2.47 eV/atom
1.0
6.552 0.000 0.000
-3.276 5.674 0.000
0.000 0.000 8.036
Cs Cd Sn F
3 2 1 9
Direct
0.000 0.000 0.000 Cs
0.333 0.667 0.671 Cs
0.667 0.333 0.329 Cs
0.333 0.667 0.160 Cd
0.667 0.333 0.840 Cd
0.000 0.000 0.500 Sn
0.000 0.500 0.000 F
0.171 0.341 0.326 F
0.171 0.829 0.326 F
0.341 0.171 0.674 F
0.500 0.000 0.000 F
0.500 0.500 0.000 F
0.659 0.829 0.326 F
0.829 0.171 0.674 F
0.829 0.659 0.674 F

***

One value per record, in order, for E_tot: -27.7; -62.3 eV for the cell shown.
One value per record, in order, for magnetization: 0.0; 0.0 μB/f.u..